VASP calculation (PBE-GGA) on an optimized crystal structure of Mg2ZrTe.

Calculated values
ΔE_f (raw) ... -0.22 eV per atom
Space group ... No. 139
Total DFT energy (no corrections) ... -15.8 eV for the cell shown
Spin magnetization ... 0.00 μB/cell

Geometry as CIF:
```
data_Mg2ZrTe
_chemical_formula_sum 'Mg2 Zr1 Te1'
_cell_length_a 6.031
_cell_length_b 6.031
_cell_length_c 6.031
_cell_angle_alpha 139.61
_cell_angle_beta 139.61
_cell_angle_gamma 58.45
_space_group_name_H-M_alt 'P 1'
_space_group_IT_number 1
_space_group_name_Hall 'P 1'
loop_
_atom_site_label
_atom_site_type_symbol
_atom_site_fract_x
_atom_site_fract_y
_atom_site_fract_z
Mg1 Mg 0.250 0.750 0.500
Mg2 Mg 0.750 0.250 0.500
Zr1 Zr 0.000 0.000 0.000
Te1 Te 0.500 0.500 0.000
```